VASP calculation (PBE) on a relaxed Tb4Pr15In crystal.

Cell lengths 5.1490, 5.1490, 26.0063 Å; angles 90.00, 90.00, 90.00 degrees
Space group P4/mmm (No. 123)
One atom of each set of equivalent atoms:
1 Tb 0.0000 0.0000 0.1004 [2 per cell]
2 Tb 0.0000 0.0000 0.3022 [2 per cell]
3 Pr 0.0000 0.5000 0.0000 [2 per cell]
4 Pr 0.0000 0.5000 0.2016 [4 per cell]
5 Pr 0.0000 0.5000 0.4037 [4 per cell]
6 Pr 0.5000 0.5000 0.1010 [2 per cell]
7 Pr 0.5000 0.5000 0.3028 [2 per cell]
8 Pr 0.5000 0.5000 0.5000 [1 per cell]
9 In 0.0000 0.0000 0.5000 [1 per cell]

Summary:
- total DFT energy (no corrections) (eV for the cell shown) = -93.728
- calculated volume (Å³/cell) = 689.5

VASP calculation (PBE) on a relaxed TmScAg4 crystal.

Cell lengths 9.7769, 3.6303, 7.2796 Å; angles 90.00, 111.80, 90.00 degrees
Space group C2/m (No. 12)
One atom of each set of equivalent atoms:
1 Tm 0.0000 0.0000 0.0000 [2 per cell]
2 Sc 0.0000 0.0000 0.5000 [2 per cell]
3 Ag 0.1670 0.5000 0.3411 [4 per cell]
4 Ag 0.1671 0.5000 0.8252 [4 per cell]

Summary:
- excess energy over the best structure of this formula in the dataset (meV/atom) = 0
- calculated volume (Å³/cell) = 239.9

Which formula does entry 2 have? TmScAg4

Which formula does entry 2 have? TmScAg4

Which value of calculated volume does entry 1 give? 689.5 Å³/cell

Look up the calculated volume of the second one. 239.9 Å³/cell